Entry 1:
# PBE KCrP2I, relaxed
data_KCrP2I
_chemical_formula_sum 'K1 Cr1 P2 I1'
_cell_length_a 5.8933
_cell_length_b 5.8933
_cell_length_c 6.3867
_cell_angle_alpha 90.00
_cell_angle_beta 90.00
_cell_angle_gamma 90.00
_space_group_name_H-M_alt 'P 4/m m m'
_space_group_IT_number 123
_space_group_name_Hall '-P 4 2'
loop_
_atom_site_label
_atom_site_fract_x
_atom_site_fract_y
_atom_site_fract_z
K1 0.0000 0.0000 0.0000
Cr1 0.0000 0.0000 0.5000
P1 0.0000 0.5000 0.0000
I1 0.5000 0.5000 0.5000
# VASP energy in eV/atom: -2.915
# Formation energy from raw total energies in eV/f.u.: 8.52


Entry 2:
# PBE K2CrPdI, relaxed
data_K2CrPdI
_chemical_formula_sum 'K2 Cr1 Pd1 I1'
_cell_length_a 6.4244
_cell_length_b 6.4244
_cell_length_c 5.3774
_cell_angle_alpha 90.00
_cell_angle_beta 90.00
_cell_angle_gamma 90.00
_space_group_name_H-M_alt 'P 4/m m m'
_space_group_IT_number 123
_space_group_name_Hall '-P 4 2'
loop_
_atom_site_label
_atom_site_fract_x
_atom_site_fract_y
_atom_site_fract_z
K1 0.0000 0.5000 0.0000
Cr1 0.0000 0.0000 0.5000
Pd1 0.5000 0.5000 0.5000
I1 0.0000 0.0000 0.0000
# VASP energy in eV/atom: -3.262
# Formation energy from raw total energies in eV/f.u.: 2.25


Entry 3:
# PBE KCrSbI2, relaxed
data_KCrSbI2
_chemical_formula_sum 'K1 Cr1 Sb1 I2'
_cell_length_a 5.8822
_cell_length_b 5.8822
_cell_length_c 5.1804
_cell_angle_alpha 90.00
_cell_angle_beta 90.00
_cell_angle_gamma 90.00
_space_group_name_H-M_alt 'P 4/m m m'
_space_group_IT_number 123
_space_group_name_Hall '-P 4 2'
loop_
_atom_site_label
_atom_site_fract_x
_atom_site_fract_y
_atom_site_fract_z
K1 0.0000 0.0000 0.0000
Cr1 0.5000 0.5000 0.5000
Sb1 0.5000 0.5000 0.0000
I1 0.0000 0.5000 0.5000
# VASP energy in eV/atom: -3.891
# Formation energy from raw total energies in eV/f.u.: -1.51


Entry 4:
# PBE KCr2SiI, relaxed
data_KCr2SiI
_chemical_formula_sum 'K1 Cr2 Si1 I1'
_cell_length_a 5.3652
_cell_length_b 5.3652
_cell_length_c 6.1288
_cell_angle_alpha 90.00
_cell_angle_beta 90.00
_cell_angle_gamma 90.00
_space_group_name_H-M_alt 'P 4/m m m'
_space_group_IT_number 123
_space_group_name_Hall '-P 4 2'
loop_
_atom_site_label
_atom_site_fract_x
_atom_site_fract_y
_atom_site_fract_z
K1 0.0000 0.0000 0.0000
Cr1 0.0000 0.5000 0.5000
Si1 0.5000 0.5000 0.0000
I1 0.0000 0.0000 0.5000
# VASP energy in eV/atom: -4.270
# Formation energy from raw total energies in eV/f.u.: 5.97


Entry 5:
# PBE KCrTeI2, relaxed
data_KCrTeI2
_chemical_formula_sum 'K1 Cr1 Te1 I2'
_cell_length_a 5.8556
_cell_length_b 5.8556
_cell_length_c 5.2463
_cell_angle_alpha 90.00
_cell_angle_beta 90.00
_cell_angle_gamma 90.00
_space_group_name_H-M_alt 'P 4/m m m'
_space_group_IT_number 123
_space_group_name_Hall '-P 4 2'
loop_
_atom_site_label
_atom_site_fract_x
_atom_site_fract_y
_atom_site_fract_z
K1 0.0000 0.0000 0.0000
Cr1 0.5000 0.5000 0.5000
Te1 0.5000 0.5000 0.0000
I1 0.0000 0.5000 0.5000
# Offset from the most stable computed form in eV per atom: 0.0000
# VASP energy in eV/atom: -3.899
# Formation energy from raw total energies in eV/f.u.: -2.53


Entry 6:
# PBE KCrTe2I, relaxed
data_KCrTe2I
_chemical_formula_sum 'K1 Cr1 Te2 I1'
_cell_length_a 6.1296
_cell_length_b 6.1296
_cell_length_c 6.0175
_cell_angle_alpha 90.00
_cell_angle_beta 90.00
_cell_angle_gamma 90.00
_space_group_name_H-M_alt 'P 4/m m m'
_space_group_IT_number 123
_space_group_name_Hall '-P 4 2'
loop_
_atom_site_label
_atom_site_fract_x
_atom_site_fract_y
_atom_site_fract_z
K1 0.0000 0.0000 0.0000
Cr1 0.5000 0.5000 0.0000
Te1 0.0000 0.5000 0.5000
I1 0.0000 0.0000 0.5000
# Offset from the most stable computed form in eV per atom: 0.9584
# VASP energy in eV/atom: -3.102
# Formation energy from raw total energies in eV/f.u.: 3.04


Entry 7:
# PBE KCrTe2I, relaxed
data_KCrTe2I
_chemical_formula_sum 'K1 Cr1 Te2 I1'
_cell_length_a 6.3343
_cell_length_b 6.3343
_cell_length_c 6.2346
_cell_angle_alpha 90.00
_cell_angle_beta 90.00
_cell_angle_gamma 90.00
_space_group_name_H-M_alt 'P 4/m m m'
_space_group_IT_number 123
_space_group_name_Hall '-P 4 2'
loop_
_atom_site_label
_atom_site_fract_x
_atom_site_fract_y
_atom_site_fract_z
K1 0.0000 0.0000 0.0000
Cr1 0.5000 0.5000 0.5000
Te1 0.0000 0.5000 0.0000
I1 0.0000 0.0000 0.5000
# Offset from the most stable computed form in eV per atom: 1.2157
# VASP energy in eV/atom: -2.845
# Formation energy from raw total energies in eV/f.u.: 4.33


Entry 8:
# PBE KCrTeI2, relaxed
data_KCrTeI2
_chemical_formula_sum 'K1 Cr1 Te1 I2'
_cell_length_a 6.3822
_cell_length_b 6.3822
_cell_length_c 6.3418
_cell_angle_alpha 90.00
_cell_angle_beta 90.00
_cell_angle_gamma 90.00
_space_group_name_H-M_alt 'P 4/m m m'
_space_group_IT_number 123
_space_group_name_Hall '-P 4 2'
loop_
_atom_site_label
_atom_site_fract_x
_atom_site_fract_y
_atom_site_fract_z
K1 0.0000 0.0000 0.0000
Cr1 0.5000 0.5000 0.5000
Te1 0.0000 0.0000 0.5000
I1 0.0000 0.5000 0.0000
# Offset from the most stable computed form in eV per atom: 1.0748
# VASP energy in eV/atom: -2.824
# Formation energy from raw total energies in eV/f.u.: 2.84


Entry 9:
# PBE KCrTe2I, relaxed
data_KCrTe2I
_chemical_formula_sum 'K1 Cr1 Te2 I1'
_cell_length_a 5.2868
_cell_length_b 5.2868
_cell_length_c 6.0823
_cell_angle_alpha 90.00
_cell_angle_beta 90.00
_cell_angle_gamma 90.00
_space_group_name_H-M_alt 'P 4/m m m'
_space_group_IT_number 123
_space_group_name_Hall '-P 4 2'
loop_
_atom_site_label
_atom_site_fract_x
_atom_site_fract_y
_atom_site_fract_z
K1 0.0000 0.0000 0.0000
Cr1 0.5000 0.5000 0.5000
Te1 0.0000 0.5000 0.5000
I1 0.5000 0.5000 0.0000
# Offset from the most stable computed form in eV per atom: 0.0000
# VASP energy in eV/atom: -4.061
# Formation energy from raw total energies in eV/f.u.: -1.75


Entry 10:
# PBE La3CrI, relaxed
data_La3CrI
_chemical_formula_sum 'La3 Cr1 I1'
_cell_length_a 5.3655
_cell_length_b 5.3655
_cell_length_c 5.3655
_cell_angle_alpha 90.00
_cell_angle_beta 90.00
_cell_angle_gamma 90.00
_space_group_name_H-M_alt 'P m -3 m'
_space_group_IT_number 221
_space_group_name_Hall '-P 4 2 3'
loop_
_atom_site_label
_atom_site_fract_x
_atom_site_fract_y
_atom_site_fract_z
La1 0.0000 0.0000 0.5000
Cr1 0.0000 0.0000 0.0000
I1 0.5000 0.5000 0.5000
# Offset from the most stable computed form in eV per atom: 0.0000
# VASP energy in eV/atom: -5.201
# Formation energy from raw total energies in eV/f.u.: -0.05


Entry 11:
# PBE La2Cr2I, relaxed
data_La2Cr2I
_chemical_formula_sum 'La4 Cr4 I2'
_cell_length_a 8.2412
_cell_length_b 8.2412
_cell_length_c 3.8051
_cell_angle_alpha 90.00
_cell_angle_beta 90.00
_cell_angle_gamma 90.00
_space_group_name_H-M_alt 'P 4/m b m'
_space_group_IT_number 127
_space_group_name_Hall '-P 4 2ab'
loop_
_atom_site_label
_atom_site_fract_x
_atom_site_fract_y
_atom_site_fract_z
La1 0.1920 0.3080 0.0000
Cr1 0.0815 0.5815 0.5000
I1 0.0000 0.0000 0.5000
# Offset from the most stable computed form in eV per atom: 0.0000
# VASP energy in eV/atom: -5.894
# Formation energy from raw total energies in eV/f.u.: 1.18


Entry 12:
# PBE LaCr2I, relaxed
data_LaCr2I
_chemical_formula_sum 'La4 Cr8 I4'
_cell_length_a 6.6512
_cell_length_b 6.6512
_cell_length_c 6.6512
_cell_angle_alpha 90.00
_cell_angle_beta 90.00
_cell_angle_gamma 90.00
_space_group_name_H-M_alt 'F m -3 m'
_space_group_IT_number 225
_space_group_name_Hall '-F 4 2 3'
loop_
_atom_site_label
_atom_site_fract_x
_atom_site_fract_y
_atom_site_fract_z
La1 0.0000 0.0000 0.0000
Cr1 0.2500 0.2500 0.2500
I1 0.0000 0.0000 0.5000
# Offset from the most stable computed form in eV per atom: 0.1945
# VASP energy in eV/atom: -5.409
# Formation energy from raw total energies in eV/f.u.: 4.09


Q: formation energy from raw total energies of number 1 (KCrP2I)?
A: 8.52 eV/f.u.